Entry 1:
Density functional theory data (PBE) for a relaxed MgPt crystal.

Summary:
- DOS at the Fermi energy (states/eV/f.u.) = 0.73
- magnetic moment (μB/f.u.) = 0.0
- energy of formation from the pure elements (meV/atom) = -649

abc: 6.540 6.540 5.495
angles: 76.85 76.85 25.84
Positions (direct):
1 Mg 0.313 0.313 0.437
2 Pt 0.639 0.639 0.722
3 Mg 0.639 0.639 0.222
4 Mg 0.965 0.965 0.007
5 Pt 0.983 0.983 0.506
6 Pt 0.295 0.295 0.939



Entry 2:
Density functional theory data (PBE) for a relaxed Mg3Pt2 crystal.

Summary:
- DOS at the Fermi energy (states/eV/f.u.) = 3.36
- magnetic moment (μB/f.u.) = 0.0
- energy of formation from the pure elements (meV/atom) = -462

abc: 11.347 11.347 11.347
angles: 15.23 15.23 15.23
Positions (direct):
1 Mg 0.207 0.207 0.207
2 Mg 0.000 0.000 0.000
3 Pt 0.603 0.603 0.603
4 Mg 0.793 0.793 0.793
5 Pt 0.397 0.397 0.397



Entry 3:
Density functional theory data (PBE) for a relaxed MgPt3 crystal.

Summary:
- DOS at the Fermi energy (states/eV/f.u.) = 4.63
- magnetic moment (μB/f.u.) = 0.0
- energy of formation from the pure elements (meV/atom) = -502

abc: 4.613 4.872 5.618
angles: 90.00 90.00 90.00
Positions (direct):
1 Pt 0.500 0.675 0.000
2 Pt 0.000 0.834 0.244
3 Pt 0.500 0.166 0.256
4 Pt 0.000 0.834 0.756
5 Pt 0.500 0.166 0.744
6 Pt 0.000 0.325 0.500
7 Mg 0.500 0.666 0.500
8 Mg 0.000 0.334 0.000



What is the formula in the first record? MgPt



Among the records above, which one has the highest DOS at the Fermi energy? MgPt3



Which of these has the lowest DOS at the Fermi energy? MgPt



Which formula does entry 2 have? Mg3Pt2